DFT (GGA-PBE) results for a geometry-optimized HfThSi2Ir5 structure.

Calculated values
DOS at the Fermi energy, states/eV/cell: 5.18
Total magnetization, μB per formula unit: 0.00
Raw total energy, eV per atom: -8.682
Energy relative to the elements, uncorrected, meV per atom: -624

Structure (CIF):
```
data_HfThSi2Ir5
_chemical_formula_sum 'Hf1 Th1 Si2 Ir5'
_cell_length_a 4.013
_cell_length_b 4.013
_cell_length_c 10.954
_cell_angle_alpha 90.00
_cell_angle_beta 90.00
_cell_angle_gamma 90.00
_space_group_name_H-M_alt 'P 4/m m m'
_space_group_IT_number 123
_space_group_name_Hall '-P 4 2'
loop_
_atom_site_label
_atom_site_fract_x
_atom_site_fract_y
_atom_site_fract_z
_atom_site_occupancy
Hf1 0.000 0.000 0.000 1
Th1 0.000 0.000 0.500 1
Si1 0.500 0.500 0.284 1
Ir1 0.000 0.500 0.172 1
Ir2 0.500 0.500 0.500 1
```



DFT (GGA-PBE) results for a geometry-optimized SrNdDy2S4 structure.

Calculated values
DOS at the Fermi energy, states/eV/cell: 2.81
Total magnetization, μB per formula unit: 0.00
Raw total energy, eV per atom: -6.035
Energy relative to the elements, uncorrected, meV per atom: -2014

Structure (CIF):
```
data_SrNdDy2S4
_chemical_formula_sum 'Sr1 Nd1 Dy2 S4'
_cell_length_a 6.979
_cell_length_b 3.995
_cell_length_c 7.000
_cell_angle_alpha 90.00
_cell_angle_beta 109.00
_cell_angle_gamma 90.00
_space_group_name_H-M_alt 'P 1 2/m 1'
_space_group_IT_number 10
_space_group_name_Hall '-P 2y'
loop_
_atom_site_label
_atom_site_fract_x
_atom_site_fract_y
_atom_site_fract_z
_atom_site_occupancy
Sr1 0.000 0.000 0.000 1
Nd1 0.500 0.500 0.000 1
Dy1 0.000 0.500 0.500 1
Dy2 0.500 0.000 0.500 1
S1 0.246 0.000 0.734 1
S2 0.258 0.500 0.269 1
```



DFT (GGA-PBE) results for a geometry-optimized MnAs2Ru structure.

Calculated values
DOS at the Fermi energy, states/eV/cell: 4.95
Total magnetization, μB per formula unit: 3.17
Raw total energy, eV per atom: -6.912
Offset from the most stable computed form, kcal/mol of atoms: 2.94
DFT formation energy, eV/atom: 0.024

Structure (CIF):
```
data_MnAs2Ru
_chemical_formula_sum 'Mn2 As4 Ru2'
_cell_length_a 7.853
_cell_length_b 3.020
_cell_length_c 5.224
_cell_angle_alpha 90.00
_cell_angle_beta 101.88
_cell_angle_gamma 90.00
_space_group_name_H-M_alt 'C 1 2/m 1'
_space_group_IT_number 12
_space_group_name_Hall '-C 2y'
loop_
_atom_site_label
_atom_site_fract_x
_atom_site_fract_y
_atom_site_fract_z
_atom_site_occupancy
Mn1 0.000 0.000 0.000 1
As1 0.245 0.000 0.745 1
Ru1 0.000 0.500 0.500 1
```



DFT (GGA-PBE) results for a geometry-optimized K3Sr3TaSe8 structure.

Calculated values
DOS at the Fermi energy, states/eV/cell: 53.45
Total magnetization, μB per formula unit: 0.00
Raw total energy, eV per atom: -4.472
Energy relative to the elements, uncorrected, meV per atom: -1267

Structure (CIF):
```
data_K3Sr3TaSe8
_chemical_formula_sum 'K9 Sr9 Ta3 Se24'
_cell_length_a 8.7146
_cell_length_b 8.7146
_cell_length_c 23.6337
_cell_angle_alpha 90.00
_cell_angle_beta 90.00
_cell_angle_gamma 120.00
_space_group_name_H-M_alt 'R -3 m'
_space_group_IT_number 166
_space_group_name_Hall '-R 3 2"'
loop_
_atom_site_label
_atom_site_fract_x
_atom_site_fract_y
_atom_site_fract_z
_atom_site_occupancy
K1 0.0000 0.5000 0.0000 1
Sr1 0.0000 0.5000 0.5000 1
Ta1 0.0000 0.0000 0.5000 1
Se1 0.0000 0.0000 0.2408 1
Se2 0.0521 0.5261 0.2312 1
```



DFT (GGA-PBE) results for a geometry-optimized ZrTi3Zn structure.

Calculated values
DOS at the Fermi energy, states/eV/cell: 21.25
Total magnetization, μB per formula unit: 0.00
Raw total energy, eV per atom: -6.761
Offset from the most stable computed form, kcal/mol of atoms: 0.00
DFT formation energy, eV/atom: -0.060

Structure (CIF):
```
data_ZrTi3Zn
_chemical_formula_sum 'Zr4 Ti12 Zn4'
_cell_length_a 4.478
_cell_length_b 13.985
_cell_length_c 5.751
_cell_angle_alpha 90.00
_cell_angle_beta 90.00
_cell_angle_gamma 90.00
_space_group_name_H-M_alt 'C m c m'
_space_group_IT_number 63
_space_group_name_Hall '-C 2c 2'
loop_
_atom_site_label
_atom_site_fract_x
_atom_site_fract_y
_atom_site_fract_z
_atom_site_occupancy
Zr1 0.000 0.200 0.250 1
Ti1 0.000 0.006 0.750 1
Ti2 0.000 0.404 0.512 1
Zn1 0.000 0.193 0.750 1
```



DFT (GGA-PBE) results for a geometry-optimized CsRb2PuI8 structure.

Calculated values
DOS at the Fermi energy, states/eV/cell: 11.94
Total magnetization, μB per formula unit: 4.04
Raw total energy, eV per atom: -3.586
Energy relative to the elements, uncorrected, meV per atom: -1126

Structure (CIF):
```
data_CsRb2PuI8
_chemical_formula_sum 'Cs1 Rb2 Pu1 I8'
_cell_length_a 6.741
_cell_length_b 8.337
_cell_length_c 10.795
_cell_angle_alpha 89.96
_cell_angle_beta 72.46
_cell_angle_gamma 89.80
_space_group_name_H-M_alt 'P -1'
_space_group_IT_number 2
_space_group_name_Hall '-P 1'
loop_
_atom_site_label
_atom_site_fract_x
_atom_site_fract_y
_atom_site_fract_z
_atom_site_occupancy
Cs1 0.000 0.000 0.000 1
Rb1 0.333 0.496 0.316 1
Pu1 0.000 0.000 0.500 1
I1 0.181 0.254 0.631 1
I2 0.186 0.742 0.626 1
I3 0.248 0.500 0.997 1
I4 0.360 0.004 0.252 1
```



DFT (GGA-PBE) results for a geometry-optimized Ce2ThPaN4 structure.

Calculated values
DOS at the Fermi energy, states/eV/cell: 6.96
Total magnetization, μB per formula unit: 0.00
Raw total energy, eV per atom: -9.341
Energy relative to the elements, uncorrected, meV per atom: -1581

Structure (CIF):
```
data_Ce2ThPaN4
_chemical_formula_sum 'Ce2 Th1 Pa1 N4'
_cell_length_a 6.187
_cell_length_b 3.583
_cell_length_c 6.213
_cell_angle_alpha 90.00
_cell_angle_beta 109.48
_cell_angle_gamma 90.00
_space_group_name_H-M_alt 'P 1 2/m 1'
_space_group_IT_number 10
_space_group_name_Hall '-P 2y'
loop_
_atom_site_label
_atom_site_fract_x
_atom_site_fract_y
_atom_site_fract_z
_atom_site_occupancy
Ce1 0.000 0.000 0.000 1
Ce2 0.000 0.500 0.500 1
Th1 0.500 0.000 0.500 1
Pa1 0.500 0.500 0.000 1
N1 0.260 0.500 0.235 1
N2 0.270 0.000 0.772 1
```



DFT (GGA-PBE) results for a geometry-optimized Nb2Rh2F structure.

Calculated values
DOS at the Fermi energy, states/eV/cell: 7.29
Total magnetization, μB per formula unit: 0.00
Raw total energy, eV per atom: -7.781
Offset from the most stable computed form, kcal/mol of atoms: 0.00
Energy relative to the elements, uncorrected, meV per atom: -438

Structure (CIF):
```
data_Nb2Rh2F
_chemical_formula_sum 'Nb4 Rh4 F2'
_cell_length_a 7.199
_cell_length_b 7.199
_cell_length_c 3.166
_cell_angle_alpha 90.00
_cell_angle_beta 90.00
_cell_angle_gamma 90.00
_space_group_name_H-M_alt 'P 4/m b m'
_space_group_IT_number 127
_space_group_name_Hall '-P 4 2ab'
loop_
_atom_site_label
_atom_site_fract_x
_atom_site_fract_y
_atom_site_fract_z
_atom_site_occupancy
Nb1 0.171 0.329 0.000 1
Rh1 0.132 0.632 0.500 1
F1 0.000 0.000 0.000 1
```



DFT (GGA-PBE) results for a geometry-optimized Er2HfThN4 structure.

Calculated values
DOS at the Fermi energy, states/eV/cell: 2.75
Total magnetization, μB per formula unit: 0.00
Raw total energy, eV per atom: -9.138
Energy relative to the elements, uncorrected, meV per atom: -1663

Structure (CIF):
```
data_Er2HfThN4
_chemical_formula_sum 'Er2 Hf1 Th1 N4'
_cell_length_a 5.913
_cell_length_b 3.429
_cell_length_c 5.990
_cell_angle_alpha 90.00
_cell_angle_beta 109.22
_cell_angle_gamma 90.00
_space_group_name_H-M_alt 'P 1 2/m 1'
_space_group_IT_number 10
_space_group_name_Hall '-P 2y'
loop_
_atom_site_label
_atom_site_fract_x
_atom_site_fract_y
_atom_site_fract_z
_atom_site_occupancy
Er1 0.000 0.000 0.000 1
Er2 0.000 0.500 0.500 1
Hf1 0.500 0.000 0.500 1
Th1 0.500 0.500 0.000 1
N1 0.253 0.000 0.729 1
N2 0.264 0.500 0.270 1
```



DFT (GGA-PBE) results for a geometry-optimized H2Pd13 structure.

Calculated values
DOS at the Fermi energy, states/eV/cell: 33.07
Total magnetization, μB per formula unit: 0.06
Raw total energy, eV per atom: -4.960

Structure (CIF):
```
data_H2Pd13
_chemical_formula_sum 'H2 Pd13'
_cell_length_a 4.859
_cell_length_b 6.305
_cell_length_c 7.452
_cell_angle_alpha 65.10
_cell_angle_beta 89.57
_cell_angle_gamma 82.35
_space_group_name_H-M_alt 'P -1'
_space_group_IT_number 2
_space_group_name_Hall '-P 1'
loop_
_atom_site_label
_atom_site_fract_x
_atom_site_fract_y
_atom_site_fract_z
_atom_site_occupancy
H1 0.196 0.342 0.276 1
Pd1 0.000 0.500 0.000 1
Pd2 0.076 0.036 0.307 1
Pd3 0.156 0.576 0.616 1
Pd4 0.231 0.113 0.923 1
Pd5 0.309 0.657 0.229 1
Pd6 0.385 0.192 0.540 1
Pd7 0.461 0.733 0.846 1
```



Among the records above, which one has the highest raw total energy? CsRb2PuI8